# 1
A geometry-optimized Ca3PrNd4Se8 structure. Source: Alexandria, functional PBE-GGA.

Lattice parameters (Å, degrees): 8.417 8.481 8.417 119.75 120.00 90.00
Fractional positions:
Nd (0.000, 0.000, 0.000)
Nd (0.000, 0.000, 0.500)
Se (0.256, 0.254, 0.005)
Se (0.748, 0.744, 0.496)
Se (0.252, 0.256, 0.504)
Se (0.251, 0.746, 0.995)
Nd (0.500, 0.000, 0.000)
Pr (0.000, 0.500, 0.000)
Se (0.251, 0.746, 0.502)
Nd (0.500, 0.000, 0.500)
Se (0.749, 0.254, 0.005)
Ca (0.000, 0.500, 0.500)
Se (0.744, 0.746, 0.995)
Se (0.749, 0.254, 0.498)
Ca (0.500, 0.500, 0.000)
Ca (0.500, 0.500, 0.500)

Results
VASP energy = -5.495 eV/atom
uncorrected formation energy = -1886.5 meV/atom
V = 426 Å³/cell
density = 5.72 g/cm³
symmetry = R-3m (166)

=====

# 2
A geometry-optimized CaPr4NdSe8 structure. Source: Alexandria, functional PBE-GGA.

Lattice parameters (Å, degrees): 8.756 8.756 8.744 59.95 59.95 60.00
Fractional positions:
Se (0.241, 0.241, 0.744)
Se (0.760, 0.760, 0.256)
Ca (0.375, 0.375, 0.875)
Pr (0.002, 0.494, 0.502)
Se (0.773, 0.241, 0.744)
Pr (0.625, 0.625, 0.126)
Se (0.241, 0.773, 0.744)
Pr (0.002, 0.002, 0.502)
Nd (0.002, 0.002, 0.993)
Se (0.242, 0.242, 0.273)
Pr (0.494, 0.002, 0.502)
Se (0.760, 0.225, 0.256)
Se (0.758, 0.758, 0.726)
Se (0.225, 0.760, 0.256)

Results
VASP energy = -5.636 eV/atom
uncorrected formation energy = -1795.6 meV/atom
V = 474 Å³/cell
density = 4.84 g/cm³
symmetry = R3m (160)

=====

# 3
A geometry-optimized Ca3PrNd2Se6 structure. Source: Alexandria, functional PBE-GGA.

Lattice parameters (Å, degrees): 7.257 7.257 7.408 99.42 99.42 119.96
Fractional positions:
Ca (0.834, 0.166, 0.500)
Ca (0.500, 0.500, 0.500)
Pr (0.000, 0.000, 0.000)
Se (0.751, 0.751, 0.257)
Se (0.249, 0.249, 0.743)
Nd (0.333, 0.667, 0.000)
Se (0.579, 0.914, 0.743)
Nd (0.667, 0.333, 0.000)
Se (0.421, 0.086, 0.257)
Ca (0.166, 0.834, 0.500)
Se (0.086, 0.421, 0.257)
Se (0.914, 0.579, 0.743)

Results
VASP energy = -5.342 eV/atom
uncorrected formation energy = -1906.5 meV/atom
V = 319 Å³/cell
density = 5.32 g/cm³
symmetry = C2/m (12)

=====

# 4
A geometry-optimized Ca2Pr3NdSe6 structure. Source: Alexandria, functional PBE-GGA.

Lattice parameters (Å, degrees): 7.311 7.311 7.404 99.49 99.49 120.10
Fractional positions:
Ca (0.667, 0.333, 0.000)
Se (0.418, 0.081, 0.241)
Pr (0.500, 0.500, 0.500)
Se (0.582, 0.919, 0.759)
Nd (0.000, 0.000, 0.000)
Se (0.919, 0.582, 0.759)
Se (0.743, 0.743, 0.243)
Se (0.081, 0.418, 0.241)
Pr (0.833, 0.167, 0.500)
Se (0.257, 0.257, 0.757)
Pr (0.167, 0.833, 0.500)
Ca (0.333, 0.667, 0.000)

Results
VASP energy = -5.552 eV/atom
uncorrected formation energy = -1883.6 meV/atom
V = 323 Å³/cell
density = 5.76 g/cm³
symmetry = C2/m (12)

=====

# 5
A geometry-optimized Ca3Pr2NdSe6 structure. Source: Alexandria, functional PBE-GGA.

Lattice parameters (Å, degrees): 7.267 7.267 7.421 99.42 99.42 119.96
Fractional positions:
Se (0.086, 0.418, 0.258)
Se (0.914, 0.582, 0.742)
Se (0.245, 0.245, 0.742)
Pr (0.666, 0.334, 0.000)
Ca (0.833, 0.167, 0.500)
Se (0.582, 0.914, 0.742)
Ca (0.167, 0.833, 0.500)
Nd (0.000, 0.000, 0.000)
Ca (0.500, 0.500, 0.500)
Se (0.755, 0.755, 0.258)
Se (0.418, 0.086, 0.258)
Pr (0.334, 0.666, 0.000)

Results
VASP energy = -5.344 eV/atom
uncorrected formation energy = -1907.0 meV/atom
V = 321 Å³/cell
density = 5.28 g/cm³
symmetry = C2/m (12)

=====

# 6
A geometry-optimized CaPr2Nd3Se6 structure. Source: Alexandria, functional PBE-GGA.

Lattice parameters (Å, degrees): 4.217 8.524 9.473 102.94 102.86 90.00
Fractional positions:
Se (0.664, 0.585, 0.328)
Se (0.336, 0.415, 0.672)
Nd (0.831, 0.169, 0.661)
Se (0.000, 0.756, 0.001)
Ca (0.500, 0.000, 0.000)
Pr (0.170, 0.339, 0.340)
Se (0.000, 0.244, 0.999)
Se (0.337, 0.921, 0.674)
Se (0.663, 0.079, 0.326)
Pr (0.830, 0.661, 0.660)
Nd (0.500, 0.500, 0.000)
Nd (0.169, 0.831, 0.339)

Results
VASP energy = -5.765 eV/atom
uncorrected formation energy = -1867.0 meV/atom
V = 323 Å³/cell
density = 6.31 g/cm³
symmetry = C2/m (12)

=====

Q: V of number 1 (Ca3PrNd4Se8)?
A: 426 Å³/cell